Compound: Li2AcHoSb2
Source: the Alexandria database
Functional: GGA-PBE
Structure: optimized geometry

POSCAR file:
```
Li2AcHoSb2
1.0
4.755 0.000 0.000
-2.378 4.118 0.000
0.000 0.000 7.726
Li Ac Ho Sb
2 1 1 2
Cartesian
0.000 2.745 1.556
2.378 1.373 6.170
0.000 0.000 3.863
0.000 0.000 0.000
0.000 2.745 6.006
2.378 1.373 1.720
```

Summary:
DOS at the Fermi energy in states/eV per atom: 0.3326
Energy relative to the elements, uncorrected in eV per atom: -0.841
Final energy in eV per atom: -4.301